# 1
Here is crystalline Cr2FeCo5 at its relaxed geometry from Alexandria via LeMat-Bulk. Energies are from PBE.

The space group is I4/mmm (No. 139) and the conventional cell measures 3.511, 3.511 and 14.111 Å, with angles of 90.00, 90.00 and 90.00 degrees. The inequivalent atoms are Cr at (0.000, 0.000, 0.249), Fe at (0.000, 0.000, 0.000), Co at (0.000, 0.000, 0.500) and Co at (0.000, 0.500, 0.126).

The calculation puts the energy of formation at 0.06 eV/atom. For the total energy, the calculation gives -0.576 Ry per atom.

***

# 2
Here is crystalline CrFe2Co at its relaxed geometry from Alexandria via LeMat-Bulk. Energies are from PBE.

The space group is F-43m (No. 216) and the conventional cell measures 5.666, 5.666 and 5.666 Å, with angles of 90.00, 90.00 and 90.00 degrees. The inequivalent atoms are Cr at (0.000, 0.000, 0.000), Fe at (0.000, 0.000, 0.500), Fe at (0.250, 0.250, 0.250) and Co at (0.250, 0.250, 0.750).

The calculation puts the energy of formation at 0.10 eV/atom. For the total energy, the calculation gives -0.611 Ry per atom.

***

# 3
Here is crystalline CrFe5Co4 at its relaxed geometry from Alexandria via LeMat-Bulk. Energies are from PBE.

The space group is C2/m (No. 12) and the conventional cell measures 11.850, 3.915 and 5.554 Å, with angles of 90.00, 90.20 and 90.00 degrees. The inequivalent atoms are Cr at (0.000, 0.000, 0.000), Fe at (0.000, 0.000, 0.500), Fe at (0.172, 0.500, 0.010), Fe at (0.172, 0.500, 0.487), Co at (0.003, 0.500, 0.750) and Co at (0.163, 0.000, 0.749).

The calculation puts the energy of formation at 0.35 eV/atom. For the total energy, the calculation gives -0.565 Ry per atom.